# FeIrPt14 | Alexandria | PBE | relaxed
# - symmetry = Amm2 (38)
# - calculated density (g/cm³) = 19.94
# - energy of formation from the pure elements (eV per atom) = -0.017
# - Fermi-level density of states (states/eV/f.u.) = 26.69
data_FeIrPt14
_cell_length_a 5.572
_cell_length_b 5.572
_cell_length_c 9.213
_cell_angle_alpha 90.00
_cell_angle_beta 90.00
_cell_angle_gamma 119.85
_space_group_name_H-M_alt 'P 1'
_space_group_IT_number 1
loop_
_space_group_symop_operation_xyz
'x,y,z'
loop_
_atom_site_label
_atom_site_type_symbol
_atom_site_fract_x
_atom_site_fract_y
_atom_site_fract_z
Ir1 Ir 0.541 0.459 0.500
Pt1 Pt 0.376 0.624 0.748
Pt2 Pt 0.207 0.292 0.000
Pt3 Pt 0.708 0.793 0.000
Pt4 Pt 0.207 0.793 0.000
Pt5 Pt 0.376 0.624 0.252
Pt6 Pt 0.544 0.955 0.500
Pt7 Pt 0.045 0.456 0.500
Pt8 Pt 0.877 0.123 0.254
Pt9 Pt 0.372 0.125 0.259
Pt10 Pt 0.372 0.125 0.741
Pt11 Pt 0.877 0.123 0.746
Pt12 Pt 0.875 0.628 0.741
Pt13 Pt 0.707 0.293 0.000
Pt14 Pt 0.875 0.628 0.259
Fe1 Fe 0.042 0.958 0.500